No. 1
First-principles (PBE) data for crystalline CuGe2PdO6 at its relaxed geometry, as listed in Alexandria via LeMat-Bulk.

POSCAR file:
```
CuGe2PdO6
1.0
5.0232 -4.7636 0.0000
5.0232 4.7636 0.0000
-1.4039 0.0000 5.0817
Cu Ge Pd O
2 4 2 12
direct
0.0921 0.9079 0.7500
0.9079 0.0921 0.2500
0.2051 0.3874 0.7176
0.3874 0.2051 0.2176
0.6126 0.7949 0.7824
0.7949 0.6126 0.2824
0.2775 0.7225 0.2500
0.7225 0.2775 0.7500
0.0221 0.2023 0.6230
0.1354 0.6209 0.8764
0.2023 0.0221 0.1230
0.2958 0.4164 0.4264
0.3791 0.8646 0.6236
0.4164 0.2958 0.9264
0.5836 0.7042 0.0736
0.6209 0.1354 0.3764
0.7042 0.5836 0.5736
0.7977 0.9779 0.8770
0.8646 0.3791 0.1236
0.9779 0.7977 0.3770
```

Properties
For the formation energy without anion corrections, the calculation gives -10.09 eV/f.u. For the total magnetization, the calculation gives 1.05 μB per formula unit. The symmetry is C2/c.

***

No. 2
First-principles (PBE) data for crystalline PmCu2GeO6 at its relaxed geometry, as listed in Alexandria via LeMat-Bulk.

POSCAR file:
```
PmCu2GeO6
1.0
6.0870 -3.3528 0.0000
6.0870 3.3528 0.0000
-3.2443 0.0000 6.4102
Pm Cu Ge O
2 4 2 12
direct
0.1806 0.8194 0.7500
0.8194 0.1806 0.2500
0.1733 0.2734 0.1151
0.2734 0.1733 0.6151
0.7266 0.8267 0.3849
0.8267 0.7266 0.8849
0.3226 0.6774 0.2500
0.6774 0.3226 0.7500
0.0965 0.7936 0.0364
0.1449 0.2532 0.3559
0.2064 0.9035 0.4636
0.2532 0.1449 0.8559
0.3919 0.3970 0.2603
0.3970 0.3919 0.7603
0.6030 0.6081 0.2397
0.6081 0.6030 0.7397
0.7468 0.8551 0.1441
0.7936 0.0965 0.5364
0.8551 0.7468 0.6441
0.9035 0.2064 0.9636
```

Properties
For the formation energy without anion corrections, the calculation gives -15.06 eV/f.u. For the total magnetization, the calculation gives 0.00 μB per formula unit. The symmetry is C2/c.